[1]
V2AgI8 | Alexandria via LeMat-Bulk | PBE | optimized geometry; raw total energy = -0.2486 Ry/atom; crystal system = monoclinic; theoretical density = 3.89 g/cm3; raw formation energy = -32.6 kJ/mol of atoms; volume = 522.6 Å³ per cell
1.0
7.315 -5.043 0.000
7.315 5.043 0.000
-0.041 0.000 7.082
V Ag I
2 1 8
direct
0.177 0.177 0.140 V
0.823 0.823 0.860 V
0.000 0.000 0.500 Ag
0.113 0.699 0.737 I
0.175 0.175 0.781 I
0.301 0.887 0.263 I
0.341 0.341 0.252 I
0.659 0.659 0.748 I
0.699 0.113 0.737 I
0.825 0.825 0.219 I
0.887 0.301 0.263 I

[2]
VAgI2 | Alexandria via LeMat-Bulk | PBE | optimized geometry; raw total energy = -0.2637 Ry/atom; crystal system = tetragonal; theoretical density = 4.92 g/cm3; raw formation energy = 17.3 kJ/mol of atoms; volume = 278.7 Å³ per cell
1.0
-3.312 3.312 6.350
3.312 -3.312 6.350
3.312 3.312 -6.350
V Ag I
2 2 4
direct
0.000 0.000 0.000 V
0.750 0.250 0.500 V
0.250 0.750 0.500 Ag
0.500 0.500 0.000 Ag
0.110 0.625 0.985 I
0.375 0.360 0.485 I
0.640 0.125 0.015 I
0.875 0.890 0.515 I